1.
An optimized crystal structure of TlPb2Au. Source: the Alexandria database, functional PBEsol.

For the formation enthalpy at 0 K, the calculation gives 0.08 eV/f.u.

The space group is Imm2 (No. 44) and the conventional cell measures 3.602, 5.329 and 10.759 Å, with angles of 90.00, 90.00 and 90.00 degrees. The inequivalent atoms are Tl at (0.000, 0.000, 0.000), Pb at (0.000, 0.000, 0.434), Pb at (0.000, 0.500, 0.218) and Au at (0.000, 0.500, 0.718).

2.
An optimized crystal structure of TlPbAu2. Source: the Alexandria database, functional PBEsol.

For the formation enthalpy at 0 K, the calculation gives 0.16 eV/f.u.

The space group is Imm2 (No. 44) and the conventional cell measures 3.154, 5.367 and 10.633 Å, with angles of 90.00, 90.00 and 90.00 degrees. The inequivalent atoms are Tl at (0.000, 0.000, 0.000), Pb at (0.000, 0.500, 0.207), Au at (0.000, 0.000, 0.467) and Au at (0.000, 0.500, 0.751).

3.
An optimized crystal structure of PbWAu2. Source: the Alexandria database, functional PBEsol.

For the formation enthalpy at 0 K, the calculation gives 3.05 eV/f.u.

The space group is I4/mmm (No. 139) and the conventional cell measures 4.083, 4.083 and 8.809 Å, with angles of 90.00, 90.00 and 90.00 degrees. The inequivalent atoms are Pb at (0.000, 0.000, 0.000), W at (0.000, 0.000, 0.500) and Au at (0.000, 0.500, 0.250).

4.
An optimized crystal structure of PbWAu2. Source: the Alexandria database, functional PBEsol.

For the formation enthalpy at 0 K, the calculation gives 2.36 eV/f.u.

The space group is Immm (No. 71) and the conventional cell measures 2.912, 4.901 and 10.677 Å, with angles of 90.00, 90.00 and 90.00 degrees. The inequivalent atoms are Pb at (0.000, 0.000, 0.000), W at (0.000, 0.000, 0.500) and Au at (0.000, 0.500, 0.224).

5.
An optimized crystal structure of Pb2WAu. Source: the Alexandria database, functional PBEsol.

For the formation enthalpy at 0 K, the calculation gives 3.45 eV/f.u.

The space group is I4/mmm (No. 139) and the conventional cell measures 4.377, 4.377 and 8.633 Å, with angles of 90.00, 90.00 and 90.00 degrees. The inequivalent atoms are Pb at (0.000, 0.500, 0.250), W at (0.000, 0.000, 0.000) and Au at (0.000, 0.000, 0.500).

6.
An optimized crystal structure of Pb2WAu. Source: the Alexandria database, functional PBEsol.

For the formation enthalpy at 0 K, the calculation gives 3.45 eV/f.u.

The space group is P2/m (No. 10) and the conventional cell measures 2.960, 5.106 and 5.586 Å, with angles of 90.00, 90.88 and 90.00 degrees. The inequivalent atoms are Pb at (0.249, 0.000, 0.248), W at (0.500, 0.500, 0.000) and Au at (0.000, 0.500, 0.500).

7.
An optimized crystal structure of PbWAu2. Source: the Alexandria database, functional PBEsol.

For the formation enthalpy at 0 K, the calculation gives 2.11 eV/f.u.

The space group is Cmmm (No. 65) and the conventional cell measures 5.656, 8.734 and 2.968 Å, with angles of 90.00, 90.00 and 90.00 degrees. The inequivalent atoms are Pb at (0.000, 0.000, 0.000), W at (0.000, 0.500, 0.000) and Au at (0.250, 0.250, 0.500).

8.
An optimized crystal structure of Pb2WAu. Source: the Alexandria database, functional PBEsol.

For the formation enthalpy at 0 K, the calculation gives 3.00 eV/f.u.

The space group is R-3m (No. 166, hexagonal axes) and the conventional cell measures 3.0498, 3.0498 and 32.2155 Å, with angles of 90.00, 90.00 and 120.00 degrees. The inequivalent atoms are Pb at (0.0000, 0.0000, 0.2448), W at (0.0000, 0.0000, 0.5000) and Au at (0.0000, 0.0000, 0.0000).